The following is a DFT calculation (PBE) of a relaxed structure of Gd3Sb5O12.

Results
E: -6.932 eV per atom
M_tot: 0.000 μB per atom

abc: 9.3401 9.3401 9.3401
angles: 109.47 109.47 109.47
Last column: nearest neighbours and their distance in Å.
Atoms (fractional coordinates):
Gd  0.2500  0.5000  0.7500  4 O 2.27
Gd  0.2500  0.7500  0.5000  4 O 2.27
Gd  0.5000  0.2500  0.7500  4 O 2.27
Gd  0.5000  0.7500  0.2500  4 O 2.27
Gd  0.7500  0.2500  0.5000  4 O 2.27
Gd  0.7500  0.5000  0.2500  4 O 2.27
Sb  0.0000  0.0000  0.4822  3 O 2.03
Sb  0.0000  0.2766  0.2766  4 O 1.98-2.21
Sb  0.0000  0.4822  0.0000  3 O 2.03
Sb  0.0000  0.7234  0.7234  4 O 1.98-2.21
Sb  0.2766  0.0000  0.2766  4 O 1.98-2.21
Sb  0.2766  0.2766  0.0000  4 O 1.98-2.21
Sb  0.4822  0.0000  0.0000  3 O 2.03
Sb  0.5178  0.5178  0.5178  3 O 2.03
Sb  0.7234  0.0000  0.7234  4 O 1.98-2.21
Sb  0.7234  0.7234  0.0000  4 O 1.98-2.21
O  0.0000  0.2896  0.4929  1 Sb 1.98
O  0.0000  0.4929  0.2896  1 Sb 1.98
O  0.0000  0.5231  0.7996  2 Sb 2.03-2.21
O  0.0000  0.7996  0.5231  2 Sb 2.03-2.21
O  0.2004  0.2004  0.7235  2 Sb 2.03-2.21
O  0.2004  0.7235  0.2004  2 Sb 2.03-2.21
O  0.2034  0.7104  0.7104  1 Sb 1.98
O  0.2765  0.4769  0.4769  2 Sb 2.03-2.21
O  0.2896  0.0000  0.4929  1 Sb 1.98
O  0.2896  0.4929  0.0000  1 Sb 1.98
O  0.4769  0.2765  0.4769  2 Sb 2.03-2.21
O  0.4769  0.4769  0.2765  2 Sb 2.03-2.21
O  0.4929  0.0000  0.2896  1 Sb 1.98
O  0.4929  0.2896  0.0000  1 Sb 1.98
O  0.5071  0.5071  0.7966  1 Sb 1.98
O  0.5071  0.7966  0.5071  1 Sb 1.98
O  0.5231  0.0000  0.7996  2 Sb 2.03-2.21
O  0.5231  0.7996  0.0000  2 Sb 2.03-2.21
O  0.7104  0.2034  0.7104  1 Sb 1.98
O  0.7104  0.7104  0.2034  1 Sb 1.98
O  0.7235  0.2004  0.2004  2 Sb 2.03-2.21
O  0.7966  0.5071  0.5071  1 Sb 1.98
O  0.7996  0.0000  0.5231  2 Sb 2.03-2.21
O  0.7996  0.5231  0.0000  2 Sb 2.03-2.21